VASP calculation (PBE+U) on a geometry-optimized VNiO2F structure.

Lattice parameters (Å, degrees): 3.856 3.856 3.908 90.00 90.00 90.00
Space group P4/mmm (No. 123)
Inequivalent atoms, fractional coordinates:
V: 0.000 0.000 0.000
Ni: 0.500 0.500 0.500
O: 0.000 0.500 0.000
F: 0.000 0.000 0.500

Results
energy: -5.56 eV/atom